A plane-wave DFT calculation with PBE-GGA was carried out for a relaxed Pm2IrPb crystal.

Values from the calculation:
ρ, g cm⁻³: 10.91
Fermi-level density of states, states/eV per cell: 2.13
E_form, eV per formula unit: -2.38

a b c (Å): 3.5720 3.5720 8.2236
angles (deg): 90.00 90.00 90.00
Last column: nearest neighbours and their distance in Å.
Space group P4/mmm (No. 123)
Symmetry-distinct sites (fractional):
Pm 0.0000 0.0000 0.2052 x2  4 Ir 3.04, 1 Pm 3.37
Ir 0.5000 0.5000 0.0000 x1  8 Pm 3.04
Pb 0.5000 0.5000 0.5000 x1  8 Pm 3.50, 4 Pb 3.57

A plane-wave DFT calculation with PBE-GGA was carried out for a relaxed Co2RhCl crystal.

Values from the calculation:
ρ, g cm⁻³: 7.69
Uncorrected formation energy, eV per atom: 0.35
Fermi-level density of states, states/eV per cell: 6.16
Energy relative to the lowest polymorph listed for this composition, meV/atom: 128

a b c (Å): 2.8536 2.8536 6.7945
angles (deg): 90.00 90.00 90.00
Last column: nearest neighbours and their distance in Å.
Space group P4/mmm (No. 123)
Symmetry-distinct sites (fractional):
Co 0.0000 0.0000 0.2436 x2  4 Rh 2.61, 4 Cl 2.67, 4 Co 2.85
Rh 0.5000 0.5000 0.0000 x1  8 Co 2.61, 4 Rh 2.85
Cl 0.5000 0.5000 0.5000 x1  8 Co 2.67, 4 Cl 2.85

A plane-wave DFT calculation with PBE-GGA was carried out for a relaxed Nd3TlN crystal.

Values from the calculation:
ρ, g cm⁻³: 5.35
Uncorrected formation energy, eV per atom: 1.34
Fermi-level density of states, states/eV per cell: 4.53
Energy relative to the lowest polymorph listed for this composition, meV/atom: 2155

a b c (Å): 5.8690 5.8690 5.8690
angles (deg): 90.00 90.00 90.00
Last column: nearest neighbours and their distance in Å.
Space group Pm-3m (No. 221)
Symmetry-distinct sites (fractional):
Nd 0.0000 0.0000 0.5000 x3  2 Tl 2.93
Tl 0.0000 0.0000 0.0000 x1  6 Nd 2.93
N 0.5000 0.5000 0.5000 x1  12 Nd 4.15

A plane-wave DFT calculation with PBE-GGA was carried out for a relaxed Li2Pr3Bi3 crystal.

Values from the calculation:
ρ, g cm⁻³: 7.84
Fermi-level density of states, states/eV per cell: 13.72
E_form, eV per formula unit: -5.94

a b c (Å): 4.5927 12.2013 16.0747
angles (deg): 90.00 90.00 90.00
Last column: nearest neighbours and their distance in Å.
Space group Cmcm (No. 63)
Symmetry-distinct sites (fractional):
Li 0.0000 0.2293 0.0972 x8  4 Bi 2.72-2.92
Pr 0.0000 0.0701 0.6072 x8  3 Li 3.36-3.66, 6 Bi 3.38-3.47
Pr 0.0000 0.3596 0.7500 x4  5 Bi 3.24-3.51, 4 Li 3.53
Bi 0.0000 0.3532 0.2500 x4  2 Li 2.88
Bi 0.0000 0.3720 0.5487 x8  3 Li 2.72-2.92